Entry 1:
A plane-wave DFT calculation with PBE-GGA was carried out for a relaxed Mg2TaMo crystal.

Computed properties:
ΔE_f = 0.179 eV/atom
Total magnetization = 0.000 μB/f.u.
Offset from the most stable computed form = 0.0294 eV/atom

a b c (Å): 3.3767 3.3767 6.8078
angles (deg): 90.00 90.00 90.00
Closest atoms and distances in Å follow each position.
Positions (direct):
Mg (0.0000, 0.0000, 0.0000)  8 Mg 3.05-3.38, 4 Ta 3.07, 1 Mo 3.11
Mg (0.5000, 0.5000, 0.2784)  1 Ta 2.98, 4 Mo 2.99, 4 Mg 3.05
Ta (0.5000, 0.5000, 0.7156)  4 Mo 2.66, 1 Mg 2.98
Mo (0.0000, 0.0000, 0.5438)  4 Ta 2.66

=====

Entry 2:
A plane-wave DFT calculation with PBE-GGA was carried out for a relaxed Er3TlO6 crystal.

Computed properties:
Total magnetization = 0.000 μB/f.u.
Offset from the most stable computed form = 0.0000 eV/atom
Raw formation energy = -2.862 eV per atom

a b c (Å): 6.6889 6.6889 6.6889
angles (deg): 91.66 91.66 91.66
Closest atoms and distances in Å follow each position.
Positions (direct):
Er (0.0572, 0.5670, 0.7520)  6 O 2.21-2.36
Er (0.2480, 0.9428, 0.4330)  6 O 2.21-2.36
Er (0.4330, 0.2480, 0.9428)  6 O 2.21-2.36
Er (0.5670, 0.7520, 0.0572)  6 O 2.21-2.36
Er (0.7520, 0.0572, 0.5670)  6 O 2.21-2.36
Er (0.9428, 0.4330, 0.2480)  6 O 2.21-2.36
Tl (0.0000, 0.0000, 0.0000)  6 O 2.27
Tl (0.5000, 0.5000, 0.5000)  6 O 2.32
O (0.0257, 0.8941, 0.6765)  3 Er 2.26-2.27, 1 Tl 2.27
O (0.1059, 0.3235, 0.9743)  3 Er 2.26-2.27, 1 Tl 2.27
O (0.1785, 0.6008, 0.4266)  3 Er 2.21-2.36, 1 Tl 2.32
O (0.3235, 0.9743, 0.1059)  3 Er 2.26-2.27, 1 Tl 2.27
O (0.3992, 0.5734, 0.8215)  3 Er 2.21-2.36, 1 Tl 2.32
O (0.4266, 0.1785, 0.6008)  3 Er 2.21-2.36, 1 Tl 2.32
O (0.5734, 0.8215, 0.3992)  3 Er 2.21-2.36, 1 Tl 2.32
O (0.6008, 0.4266, 0.1785)  3 Er 2.21-2.36, 1 Tl 2.32
O (0.6765, 0.0257, 0.8941)  3 Er 2.26-2.27, 1 Tl 2.27
O (0.8215, 0.3992, 0.5734)  3 Er 2.21-2.36, 1 Tl 2.32
O (0.8941, 0.6765, 0.0257)  3 Er 2.26-2.27, 1 Tl 2.27
O (0.9743, 0.1059, 0.3235)  3 Er 2.26-2.27, 1 Tl 2.27

=====

Entry 3:
A plane-wave DFT calculation with PBE-GGA was carried out for a relaxed GaSnAu crystal.

Computed properties:
ΔE_f = -0.122 eV/atom
Total magnetization = 0.000 μB/f.u.

a b c (Å): 4.3242 5.1350 6.8981
angles (deg): 86.11 71.98 67.00
Closest atoms and distances in Å follow each position.
Positions (direct):
Ga (0.0000, 0.0000, 0.0000)  3 Au 2.66-2.74, 1 Sn 2.76
Ga (0.1016, 0.5062, 0.3091)  3 Au 2.72-3.04
Sn (0.6881, 0.0923, 0.5318)  5 Au 2.88-3.02, 1 Ga 3.06
Sn (0.7759, 0.5482, 0.8794)  2 Ga 2.76-3.09, 3 Au 2.80-2.84
Au (0.3277, 0.6936, 0.6324)  2 Ga 2.74-3.04, 5 Sn 2.80-2.98, 1 Au 2.94
Au (0.4182, 0.9338, 0.2295)  4 Ga 2.66-2.95, 2 Sn 2.84-2.98, 1 Au 2.94

=====

Entry 4:
A plane-wave DFT calculation with PBE-GGA was carried out for a relaxed Zr2TiSbC crystal.

Computed properties:
Total magnetization = 0.000 μB/f.u.
Offset from the most stable computed form = 0.5591 eV/atom
Raw formation energy = 0.028 eV per atom

a b c (Å): 4.4286 4.4286 4.9206
angles (deg): 90.00 90.00 90.00
Closest atoms and distances in Å follow each position.
Positions (direct):
Zr (0.0000, 0.5000, 0.0000)  2 C 2.21
Zr (0.5000, 0.0000, 0.0000)  2 C 2.21
Ti (0.0000, 0.0000, 0.5000)  4 Sb 3.13, 8 Zr 3.31
Sb (0.5000, 0.5000, 0.5000)  2 C 2.46
C (0.5000, 0.5000, 0.0000)  4 Zr 2.21, 2 Sb 2.46

=====

Entry 5:
A plane-wave DFT calculation with PBE-GGA was carried out for a relaxed CaCrBiBr2 crystal.

Computed properties:
Total magnetization = 3.020 μB/f.u.
Raw formation energy = -0.472 eV per atom

a b c (Å): 5.0539 5.0539 5.8258
angles (deg): 90.00 90.00 90.00
Closest atoms and distances in Å follow each position.
Positions (direct):
Ca (0.0000, 0.0000, 0.0000)  4 Bi 3.57, 8 Br 3.86
Cr (0.5000, 0.5000, 0.5000)  4 Br 2.53
Bi (0.5000, 0.5000, 0.0000)  2 Cr 2.91
Br (0.0000, 0.5000, 0.5000)  2 Cr 2.53
Br (0.5000, 0.0000, 0.5000)  2 Cr 2.53

=====

Entry 6:
A plane-wave DFT calculation with PBE-GGA was carried out for a relaxed Ba2TaRh crystal.

Computed properties:
ΔE_f = 0.202 eV/atom
Total magnetization = 0.004 μB/f.u.
Offset from the most stable computed form = 0.0000 eV/atom

a b c (Å): 3.5178 3.5922 10.2190
angles (deg): 90.00 99.83 90.00
Closest atoms and distances in Å follow each position.
Positions (direct):
Ba (0.0000, 0.0000, 0.0000)  1 Ta 3.35, 4 Ba 3.52-3.59, 4 Rh 3.60-3.61
Ba (0.1953, 0.5000, 0.3902)  4 Ba 3.52-3.59, 1 Rh 3.56, 4 Ta 3.76
Ta (0.8331, 0.0000, 0.6674)  4 Rh 2.63
Rh (0.3710, 0.5000, 0.7434)  4 Ta 2.63

=====

> Number 2 is which compound?

Er3TlO6